1.
Entry from Alexandria via LeMat-Bulk: a relaxed Rb2Ga2Au crystal (PBE-GGA).

Summary:
As for the polymorph energy (0 for the lowest one): 34 meV per atom. Its space group is P4/mbm. The calculation puts the total energy at -23.000 eV for the cell shown.

a = 7.0413 Å, b = 7.0413 Å, c = 6.0249 Å
α = 90.00°, β = 90.00°, γ = 90.00°
Last column: nearest neighbours and their distance in Å.
Atoms (fractional coordinates):
Au: 0.5000 0.5000 0.0000  4 Ga 2.77
Au: 0.0000 0.0000 0.0000  4 Ga 2.77
Rb: 0.3104 0.1896 0.5000  6 Ga 3.51-3.78, 5 Rb 3.62-3.78
Rb: 0.8104 0.3104 0.5000  6 Ga 3.51-3.78, 5 Rb 3.62-3.78
Rb: 0.1896 0.6896 0.5000  6 Ga 3.51-3.78, 5 Rb 3.62-3.78
Rb: 0.6896 0.8104 0.5000  6 Ga 3.51-3.78, 5 Rb 3.62-3.78
Ga: 0.3709 0.8709 0.0000  1 Ga 2.57, 2 Au 2.77
Ga: 0.1291 0.3709 0.0000  1 Ga 2.57, 2 Au 2.77
Ga: 0.6291 0.1291 0.0000  1 Ga 2.57, 2 Au 2.77
Ga: 0.8709 0.6291 0.0000  1 Ga 2.57, 2 Au 2.77

***

2.
Entry from Alexandria via LeMat-Bulk: a relaxed Rb3GaAu crystal (PBE-GGA).

Summary:
As for the polymorph energy (0 for the lowest one): 205 meV per atom. Its space group is Pm-3m. The calculation puts the total energy at -8.573 eV for the cell shown.

a = 6.5854 Å, b = 6.5854 Å, c = 6.5854 Å
α = 90.00°, β = 90.00°, γ = 90.00°
Last column: nearest neighbours and their distance in Å.
Atoms (fractional coordinates):
Ga: 0.5000 0.5000 0.5000  12 Rb 4.66
Rb: 0.0000 0.0000 0.5000  2 Au 3.29
Rb: 0.0000 0.5000 0.0000  2 Au 3.29
Rb: 0.5000 0.0000 0.0000  2 Au 3.29
Au: 0.0000 0.0000 0.0000  6 Rb 3.29

***

3.
Entry from Alexandria via LeMat-Bulk: a relaxed Rb2GaSbAu6 crystal (PBE-GGA).

Summary:
As for the formation energy (no corrections): -0.168 eV/atom. Its space group is I4/mmm. The calculation puts the total energy at -30.431 eV for the cell shown.

a = 7.4010 Å, b = 7.4038 Å, c = 7.4131 Å
α = 60.00°, β = 60.01°, γ = 89.97°
Last column: nearest neighbours and their distance in Å.
Atoms (fractional coordinates):
Au: 0.7599 0.7598 0.0002  1 Ga 2.51, 1 Sb 2.72
Au: 0.7599 0.2400 0.0000  1 Ga 2.51, 1 Sb 2.72
Au: 0.2403 0.2403 0.5196  1 Ga 2.52, 1 Sb 2.72
Au: 0.7597 0.7597 0.4804  1 Ga 2.52, 1 Sb 2.72
Au: 0.2401 0.7600 0.0000  1 Ga 2.51, 1 Sb 2.72
Au: 0.2401 0.2402 0.9998  1 Ga 2.51, 1 Sb 2.72
Ga: 0.0000 0.0000 0.0000  6 Au 2.51-2.52
Sb: 0.5000 0.5000 0.0000  6 Au 2.72
Rb: 0.7501 0.2501 0.4998  12 Au 3.70-3.71
Rb: 0.2499 0.7499 0.5002  12 Au 3.70-3.71

***

4.
Entry from Alexandria via LeMat-Bulk: a relaxed RbGaSbAu crystal (PBE-GGA).

Summary:
As for the formation energy (no corrections): -0.160 eV/atom. Its space group is P4/nmm. The calculation puts the total energy at -24.070 eV for the cell shown.

a = 4.4180 Å, b = 4.4180 Å, c = 13.3979 Å
α = 90.00°, β = 90.00°, γ = 90.00°
Last column: nearest neighbours and their distance in Å.
Atoms (fractional coordinates):
Au: 0.2500 0.7500 0.5000  4 Au 3.12, 4 Rb 3.48
Au: 0.7500 0.2500 0.5000  4 Au 3.12, 4 Rb 3.48
Rb: 0.7500 0.7500 0.2996  4 Au 3.48
Rb: 0.2500 0.2500 0.7004  4 Au 3.48
Sb: 0.2500 0.2500 0.1245  4 Ga 2.77
Sb: 0.7500 0.7500 0.8755  4 Ga 2.77
Ga: 0.7500 0.2500 0.0000  4 Sb 2.77
Ga: 0.2500 0.7500 0.0000  4 Sb 2.77

***

5.
Entry from Alexandria via LeMat-Bulk: a relaxed RbGaSiAu2 crystal (PBE-GGA).

Summary:
As for the formation energy (no corrections): -0.036 eV/atom. Its space group is P4/mmm. The calculation puts the total energy at -16.154 eV for the cell shown.

a = 5.0241 Å, b = 5.0241 Å, c = 5.0884 Å
α = 90.00°, β = 90.00°, γ = 90.00°
Last column: nearest neighbours and their distance in Å.
Atoms (fractional coordinates):
Ga: 0.0000 0.0000 0.5000  2 Si 2.54
Si: 0.0000 0.0000 0.0000  4 Au 2.51, 2 Ga 2.54
Au: 0.0000 0.5000 0.0000  2 Si 2.51
Au: 0.5000 0.0000 0.0000  2 Si 2.51
Rb: 0.5000 0.5000 0.5000  4 Ga 3.55, 8 Au 3.58

***

6.
Entry from Alexandria via LeMat-Bulk: a relaxed Rb3Ga2Sn9Au crystal (PBE-GGA).

Summary:
Its space group is P-3m1. The calculation puts the total energy at -47.318 eV for the cell shown.

a = 7.2903 Å, b = 7.2903 Å, c = 11.5451 Å
α = 90.00°, β = 90.00°, γ = 120.00°
Last column: nearest neighbours and their distance in Å.
Atoms (fractional coordinates):
Ga: 0.6667 0.3333 0.8328  6 Sn 2.86-3.08
Ga: 0.3333 0.6667 0.1672  6 Sn 2.86-3.08
Sn: 0.3913 0.1957 0.6121  1 Au 2.79, 2 Sn 3.01, 1 Ga 3.08
Sn: 0.8043 0.6087 0.6121  1 Au 2.79, 2 Sn 3.01, 1 Ga 3.08
Sn: 0.1957 0.3913 0.3879  1 Au 2.79, 2 Sn 3.01, 1 Ga 3.08
Sn: 0.1957 0.8043 0.3879  1 Au 2.79, 2 Sn 3.01, 1 Ga 3.08
Sn: 0.0000 0.5000 0.0000  2 Ga 2.86
Sn: 0.8043 0.1957 0.6121  1 Au 2.79, 2 Sn 3.01, 1 Ga 3.08
Sn: 0.5000 0.0000 0.0000  2 Ga 2.86
Sn: 0.6087 0.8043 0.3879  1 Au 2.79, 2 Sn 3.01, 1 Ga 3.08
Sn: 0.5000 0.5000 0.0000  2 Ga 2.86
Au: 0.0000 0.0000 0.5000  6 Sn 2.79
Rb: 0.0000 0.0000 0.0000  6 Sn 3.65
Rb: 0.3333 0.6667 0.7207  12 Sn 3.85-4.22
Rb: 0.6667 0.3333 0.2793  12 Sn 3.85-4.22

***

7.
Entry from Alexandria via LeMat-Bulk: a relaxed Rb2GaSn4Au3 crystal (PBE-GGA).

Summary:
Its space group is P-4m2. The calculation puts the total energy at -33.349 eV for the cell shown.

a = 4.8884 Å, b = 4.8884 Å, c = 11.6098 Å
α = 90.00°, β = 90.00°, γ = 90.00°
Last column: nearest neighbours and their distance in Å.
Atoms (fractional coordinates):
Au: 0.0000 0.0000 0.5000  4 Sn 2.86
Au: 0.5000 0.0000 0.8702  5 Sn 2.81-2.87
Au: 0.0000 0.5000 0.1298  5 Sn 2.81-2.87
Rb: 0.0000 0.5000 0.7449  8 Sn 3.71-3.84, 6 Au 3.75, 2 Ga 3.75
Rb: 0.5000 0.0000 0.2551  8 Sn 3.71-3.84, 6 Au 3.75, 2 Ga 3.75
Sn: 0.5000 0.0000 0.6282  3 Au 2.81-2.86, 2 Ga 2.86
Sn: 0.0000 0.0000 0.0000  4 Au 2.87
Sn: 0.5000 0.5000 0.0000  4 Au 2.87
Sn: 0.0000 0.5000 0.3718  3 Au 2.81-2.86, 2 Ga 2.86
Ga: 0.5000 0.5000 0.5000  4 Sn 2.86

***

8.
Entry from Alexandria via LeMat-Bulk: a relaxed RbGaSnAu3 crystal (PBE-GGA).

Summary:
Its space group is Cmcm. The calculation puts the total energy at -38.822 eV for the cell shown.

a = 7.2535 Å, b = 7.1142 Å, c = 7.6815 Å
α = 117.59°, β = 90.00°, γ = 90.00°
Last column: nearest neighbours and their distance in Å.
Atoms (fractional coordinates):
Ga: 0.2500 0.0825 0.1650  5 Au 2.51-2.60
Ga: 0.7500 0.9175 0.8350  5 Au 2.51-2.60
Au: 0.5000 0.7920 0.0000  2 Ga 2.60, 2 Sn 2.80
Au: 0.5000 0.2080 0.0000  2 Ga 2.60, 2 Sn 2.80
Au: 0.7500 0.7331 0.4662  1 Ga 2.51, 1 Sn 2.69
Au: 0.0000 0.7920 0.0000  2 Ga 2.60, 2 Sn 2.80
Au: 0.2500 0.2669 0.5338  1 Ga 2.51, 1 Sn 2.69
Au: 0.0000 0.2080 0.0000  2 Ga 2.60, 2 Sn 2.80
Rb: 0.2500 0.7625 0.5250  4 Au 3.56-3.65
Rb: 0.7500 0.2375 0.4750  4 Au 3.56-3.65
Sn: 0.2500 0.4645 0.9291  5 Au 2.69-2.80
Sn: 0.7500 0.5355 0.0709  5 Au 2.69-2.80